1.
{
  "formula": "Pr2PuH",
  "functional": "PBE-GGA",
  "state": "relaxed",
  "final_energy_ev_per_cell": -27.3,
  "e_above_lowest_polymorph_ev_per_atom": 0.0000,
  "lattice": [[1.816, 1.048, 8.848], [-1.816, 1.048, 8.848], [0.000, -2.097, 8.848]],
  "species": ["Pr", "Pr", "Pu", "H"],
  "frac_coords": [[0.226, 0.226, 0.226], [0.774, 0.774, 0.774], [0.000, 0.000, 0.000], [0.500, 0.500, 0.500]]
}

---

2.
{
  "formula": "PrPuH",
  "functional": "PBE-GGA",
  "state": "relaxed",
  "final_energy_ev_per_cell": -22.6,
  "e_above_lowest_polymorph_ev_per_atom": 0.0000,
  "lattice": [[3.585, 0.000, 0.000], [-1.793, 3.105, 0.000], [0.000, 0.000, 5.894]],
  "species": ["Pr", "Pu", "H"],
  "frac_coords": [[0.000, 0.000, 0.000], [0.333, 0.667, 0.490], [0.667, 0.333, 0.259]]
}

---

3.
{
  "formula": "Pr5Pu3H12",
  "functional": "PBE-GGA",
  "state": "relaxed",
  "final_energy_ev_per_cell": -453.3,
  "lattice": [[-6.744, 6.744, 6.744], [6.744, -6.744, 6.744], [6.744, 6.744, -6.744]],
  "species": ["Pr", "Pr", "Pr", "Pr", "Pr", "Pr", "Pr", "Pr", "Pr", "Pr", "Pr", "Pr", "Pr", "Pr", "Pr", "Pr", "Pr", "Pr", "Pr", "Pr", "Pu", "Pu", "Pu", "Pu", "Pu", "Pu", "Pu", "Pu", "Pu", "Pu", "Pu", "Pu", "H", "H", "H", "H", "H", "H", "H", "H", "H", "H", "H", "H", "H", "H", "H", "H", "H", "H", "H", "H", "H", "H", "H", "H", "H", "H", "H", "H", "H", "H", "H", "H", "H", "H", "H", "H", "H", "H", "H", "H", "H", "H", "H", "H", "H", "H", "H", "H"],
  "frac_coords": [[0.000, 0.000, 0.000], [0.000, 0.000, 0.500], [0.000, 0.500, 0.000], [0.000, 0.500, 0.500], [0.125, 0.750, 0.875], [0.125, 0.875, 0.250], [0.250, 0.125, 0.875], [0.250, 0.625, 0.375], [0.375, 0.250, 0.625], [0.375, 0.625, 0.750], [0.500, 0.000, 0.000], [0.500, 0.000, 0.500], [0.500, 0.500, 0.000], [0.500, 0.500, 0.500], [0.625, 0.375, 0.250], [0.625, 0.750, 0.375], [0.750, 0.375, 0.625], [0.750, 0.875, 0.125], [0.875, 0.125, 0.750], [0.875, 0.250, 0.125], [0.125, 0.250, 0.375], [0.125, 0.375, 0.750], [0.250, 0.375, 0.125], [0.250, 0.875, 0.625], [0.375, 0.125, 0.250], [0.375, 0.750, 0.125], [0.625, 0.250, 0.875], [0.625, 0.875, 0.750], [0.750, 0.125, 0.375], [0.750, 0.625, 0.875], [0.875, 0.625, 0.250], [0.875, 0.750, 0.625], [0.074, 0.233, 0.155], [0.074, 0.341, 0.919], [0.078, 0.733, 0.659], [0.078, 0.845, 0.419], [0.081, 0.655, 0.422], [0.081, 0.926, 0.659], [0.155, 0.074, 0.233], [0.155, 0.581, 0.922], [0.159, 0.233, 0.578], [0.159, 0.426, 0.581], [0.233, 0.155, 0.074], [0.233, 0.578, 0.159], [0.267, 0.341, 0.922], [0.267, 0.426, 0.345], [0.341, 0.919, 0.074], [0.341, 0.922, 0.267], [0.345, 0.267, 0.426], [0.345, 0.578, 0.919], [0.419, 0.078, 0.845], [0.419, 0.841, 0.574], [0.422, 0.081, 0.655], [0.422, 0.841, 0.767], [0.426, 0.345, 0.267], [0.426, 0.581, 0.159], [0.574, 0.419, 0.841], [0.574, 0.655, 0.733], [0.578, 0.159, 0.233], [0.578, 0.919, 0.345], [0.581, 0.159, 0.426], [0.581, 0.922, 0.155], [0.655, 0.422, 0.081], [0.655, 0.733, 0.574], [0.659, 0.078, 0.733], [0.659, 0.081, 0.926], [0.733, 0.574, 0.655], [0.733, 0.659, 0.078], [0.767, 0.422, 0.841], [0.767, 0.845, 0.926], [0.841, 0.574, 0.419], [0.841, 0.767, 0.422], [0.845, 0.419, 0.078], [0.845, 0.926, 0.767], [0.919, 0.074, 0.341], [0.919, 0.345, 0.578], [0.922, 0.155, 0.581], [0.922, 0.267, 0.341], [0.926, 0.659, 0.081], [0.926, 0.767, 0.845]]
}

---

no.,size of the total moment (Bohr magnetons per cell)
1,6.206
2,6.064
3,74.040